The following is a PBE-GGA calculation of LiAg2W after structural relaxation, from the Alexandria database.

Energy above the lowest structure with this stoichiometry: 19.9 meV per atom
Calculated formation energy: 32.8 kJ per mole of atoms

Unit cell a=9.881 b=9.881 c=9.881 alpha=16.36 beta=16.36 gamma=16.36
Fractional coordinates of all 4 atoms:
Ag: 0.000 0.000 0.000
Ag: 0.248 0.248 0.248
Li: 0.501 0.501 0.501
W: 0.751 0.751 0.751